## one
A plane-wave DFT calculation with GGA-PBE was carried out for a geometry-optimized Dy2Er4LuTe2Pd2 structure.

abc: 9.3741 9.3741 9.3741
angles: 155.89 67.30 118.24
Closest atoms and distances in Å follow each position.
Fractional coordinates of all 11 atoms:
Dy (0.0559, 0.3736, 0.6823)  3 Pd 2.85-3.18, 1 Te 3.15
Dy (0.6913, 0.3736, 0.3177)  3 Pd 2.85-3.18, 1 Te 3.15
Er (0.4521, 0.5818, 0.8703)  2 Pd 2.87, 3 Te 3.10-3.17
Er (0.3745, 0.7322, 0.6423)  2 Pd 2.90, 2 Te 3.13
Er (0.7115, 0.5818, 0.1297)  2 Pd 2.87, 3 Te 3.10-3.17
Er (0.0899, 0.7322, 0.3577)  2 Pd 2.90, 2 Te 3.13
Pd (0.3070, 0.0706, 0.2363)  3 Dy 2.85-3.18, 4 Er 2.87-2.90
Pd (0.8343, 0.0706, 0.7637)  3 Dy 2.85-3.18, 4 Er 2.87-2.90
Te (0.3377, 0.3377, 0.0000)  6 Er 3.10-3.13, 1 Lu 3.26
Te (0.7331, 0.2331, 0.5000)  2 Dy 3.15, 4 Er 3.17, 2 Lu 3.22
Lu (0.9992, 0.9992, 0.0000)  3 Te 3.22-3.26

## two
A plane-wave DFT calculation with GGA-PBE was carried out for a geometry-optimized Dy2Er4LuTe2Pd2 structure.

abc: 9.3716 9.3716 9.3716
angles: 155.88 67.41 118.12
Closest atoms and distances in Å follow each position.
Fractional coordinates of all 11 atoms:
Te (0.7364, 0.2364, 0.5000)  2 Er 3.14, 4 Dy 3.18, 2 Lu 3.20
Te (0.3354, 0.3354, 0.0000)  2 Dy 3.12, 4 Er 3.13, 1 Lu 3.23
Pd (0.8351, 0.0696, 0.7654)  4 Er 2.84-2.89, 2 Dy 2.89
Pd (0.3042, 0.0696, 0.2346)  4 Er 2.84-2.89, 2 Dy 2.89
Dy (0.7111, 0.5817, 0.1294)  2 Pd 2.89, 3 Te 3.12-3.18
Dy (0.4522, 0.5817, 0.8706)  2 Pd 2.89, 3 Te 3.12-3.18
Er (0.0566, 0.3743, 0.6823)  2 Pd 2.84, 1 Te 3.14
Er (0.6921, 0.3743, 0.3177)  2 Pd 2.84, 1 Te 3.14
Er (0.0893, 0.7319, 0.3575)  2 Pd 2.89, 2 Te 3.13
Er (0.3744, 0.7319, 0.6425)  2 Pd 2.89, 2 Te 3.13
Lu (0.9997, 0.9997, 0.0000)  3 Te 3.20-3.23

Computed energies relative to the best structure, in meV per atom: one 6; two 0

## one
A plane-wave DFT calculation with GGA-PBE was carried out for a geometry-optimized Dy4ErLu2Te2Pd2 structure.

abc: 9.3516 9.3516 9.3516
angles: 155.73 67.28 118.33
Closest atoms and distances in Å follow each position.
Fractional coordinates of all 11 atoms:
Dy (0.0904, 0.7342, 0.3561)  2 Pd 2.92, 2 Te 3.14
Dy (0.7128, 0.5829, 0.1299)  2 Pd 2.88, 3 Te 3.11-3.18
Dy (0.3781, 0.7342, 0.6439)  2 Pd 2.92, 2 Te 3.14
Dy (0.4529, 0.5829, 0.8701)  2 Pd 2.88, 3 Te 3.11-3.18
Te (0.3363, 0.3363, 0.0000)  6 Dy 3.11-3.14, 1 Er 3.23
Te (0.7364, 0.2364, 0.5000)  2 Lu 3.13, 4 Dy 3.18, 2 Er 3.19
Lu (0.0567, 0.3744, 0.6824)  2 Pd 2.81, 1 Te 3.13
Lu (0.6920, 0.3744, 0.3176)  2 Pd 2.81, 1 Te 3.13
Pd (0.8305, 0.0659, 0.7645)  2 Lu 2.81, 4 Dy 2.88-2.92
Pd (0.3014, 0.0659, 0.2355)  2 Lu 2.81, 4 Dy 2.88-2.92
Er (0.9990, 0.9990, 0.0000)  3 Te 3.19-3.23

## two
A plane-wave DFT calculation with GGA-PBE was carried out for a geometry-optimized Dy4ErLu2Te2Pd2 structure.

abc: 9.3713 9.3713 9.3713
angles: 155.92 67.33 118.19
Closest atoms and distances in Å follow each position.
Fractional coordinates of all 11 atoms:
Te (0.7357, 0.2357, 0.5000)  6 Dy 3.15-3.18, 2 Er 3.21
Te (0.3338, 0.3338, 0.0000)  2 Dy 3.11, 4 Lu 3.12, 1 Er 3.21
Dy (0.4515, 0.5805, 0.8711)  2 Pd 2.90, 3 Te 3.11-3.18
Dy (0.7094, 0.5805, 0.1289)  2 Pd 2.90, 3 Te 3.11-3.18
Dy (0.6910, 0.3738, 0.3172)  3 Pd 2.85-3.17, 1 Te 3.15
Dy (0.0567, 0.3738, 0.6828)  3 Pd 2.85-3.17, 1 Te 3.15
Lu (0.3739, 0.7312, 0.6426)  2 Pd 2.85, 2 Te 3.12
Lu (0.0886, 0.7312, 0.3574)  2 Pd 2.85, 2 Te 3.12
Pd (0.8395, 0.0731, 0.7664)  5 Dy 2.85-3.17, 2 Lu 2.85
Pd (0.3067, 0.0731, 0.2336)  5 Dy 2.85-3.17, 2 Lu 2.85
Er (0.9998, 0.9998, 0.0000)  3 Te 3.21

Computed energies relative to the best structure, in meV per atom: one 0; two 19

## one
A plane-wave DFT calculation with GGA-PBE was carried out for a geometry-optimized DyErMg2 structure.

abc: 5.4417 6.8664 6.8664
angles: 121.61 90.00 90.00
Closest atoms and distances in Å follow each position.
Fractional coordinates of all 8 atoms:
Mg (0.2500, 0.6656, 0.8310)  2 Dy 3.28-3.41, 4 Er 3.32-3.47, 6 Mg 3.35-3.52
Mg (0.7500, 0.8326, 0.1786)  4 Er 3.33-3.36, 4 Dy 3.33-3.47, 4 Mg 3.35-3.52
Mg (0.2500, 0.1786, 0.8326)  4 Er 3.33-3.36, 4 Dy 3.33-3.47, 4 Mg 3.35-3.52
Mg (0.7500, 0.8310, 0.6656)  2 Dy 3.28-3.41, 4 Er 3.32-3.47, 6 Mg 3.35-3.52
Er (0.2500, 0.6739, 0.3412)  8 Mg 3.32-3.47, 4 Dy 3.43-3.45
Er (0.7500, 0.3412, 0.6739)  8 Mg 3.32-3.47, 4 Dy 3.43-3.45
Dy (0.2500, 0.1598, 0.3173)  6 Mg 3.28-3.47, 2 Dy 3.31, 4 Er 3.43-3.45
Dy (0.7500, 0.3173, 0.1598)  6 Mg 3.28-3.47, 2 Dy 3.31, 4 Er 3.43-3.45

## two
A plane-wave DFT calculation with GGA-PBE was carried out for a geometry-optimized DyErMg2 structure.

abc: 6.5362 6.5362 5.3338
angles: 90.00 90.00 109.51
Closest atoms and distances in Å follow each position.
Fractional coordinates of all 8 atoms:
Mg (0.8716, 0.6291, 0.2500)  4 Er 3.25-3.29, 4 Dy 3.26-3.27
Mg (0.3709, 0.1284, 0.2500)  4 Er 3.25-3.29, 4 Dy 3.26-3.27
Mg (0.6291, 0.8716, 0.7500)  4 Er 3.25-3.29, 4 Dy 3.26-3.27
Mg (0.1284, 0.3709, 0.7500)  4 Er 3.25-3.29, 4 Dy 3.26-3.27
Er (0.1267, 0.8733, 0.7500)  8 Mg 3.25-3.29
Er (0.8733, 0.1267, 0.2500)  8 Mg 3.25-3.29
Dy (0.3710, 0.6290, 0.2500)  8 Mg 3.26-3.27
Dy (0.6290, 0.3710, 0.7500)  8 Mg 3.26-3.27

Computed energies relative to the best structure, in meV per atom: one 85; two 0

## one
A plane-wave DFT calculation with GGA-PBE was carried out for a geometry-optimized DyErMg structure.

abc: 8.7657 8.7657 5.4432
angles: 90.00 90.00 156.05
Closest atoms and distances in Å follow each position.
Fractional coordinates of all 6 atoms:
Er (0.7263, 0.2737, 0.7500)  2 Mg 3.31, 6 Er 3.37-3.64, 4 Dy 3.55-3.58
Er (0.2737, 0.7263, 0.2500)  2 Mg 3.31, 6 Er 3.37-3.64, 4 Dy 3.55-3.58
Mg (0.0651, 0.9349, 0.7500)  6 Dy 3.27-3.31, 2 Er 3.31, 4 Mg 3.52-3.64
Mg (0.9349, 0.0651, 0.2500)  6 Dy 3.27-3.31, 2 Er 3.31, 4 Mg 3.52-3.64
Dy (0.5936, 0.4064, 0.2500)  6 Mg 3.27-3.31, 4 Er 3.55-3.58, 2 Dy 3.64
Dy (0.4064, 0.5936, 0.7500)  6 Mg 3.27-3.31, 4 Er 3.55-3.58, 2 Dy 3.64

## two
A plane-wave DFT calculation with GGA-PBE was carried out for a geometry-optimized DyErMg structure.

abc: 5.2044 5.2044 5.2044
angles: 60.00 60.00 60.00
Closest atoms and distances in Å follow each position.
Fractional coordinates of all 3 atoms:
Er (0.7500, 0.7500, 0.7500)  4 Mg 3.19
Mg (0.0000, 0.0000, 0.0000)  4 Dy 3.19, 4 Er 3.19
Dy (0.2500, 0.2500, 0.2500)  4 Mg 3.19

Computed energies relative to the best structure, in meV per atom: one 0; two 490